Material: NaLaY2Bi
Method: DFT, GGA-PBE
State: relaxed

Output
Total magnetization (μB/atom): 0.1971
E (eV/cell): -21.97
Space group: No. 123
Calculated volume (Å³ per atom): 43.6

Cell: 5.903 6.262 5.903 Å, 90.00 90.00 90.00°
Site moments in Bohr magnetons follow the coordinates.
Element x y z (fractional)
Y (0.500, 0.000, 0.000)  0.11
Y (0.000, 0.000, 0.500)  0.16
La (0.000, 0.500, 0.000)  0.11
Na (0.500, 0.500, 0.500)  0.00
Bi (0.000, 0.000, 0.000)  0.00

Material: Sc5Tl4Zn
Method: DFT, GGA-PBE
State: relaxed

Output
Total magnetization (μB/atom): 0.0842
E (eV/cell): -45.31
Space group: No. 123
Calculated volume (Å³ per atom): 22.5

Cell: 3.440 3.440 19.002 Å, 90.00 90.00 90.00°
Site moments in Bohr magnetons follow the coordinates.
Element x y z (fractional)
Sc (0.500, 0.500, 0.290)  0.21
Sc (0.500, 0.500, 0.710)  0.21
Sc (0.500, 0.500, 0.084)  0.03
Tl (0.000, 0.000, 0.395)  -0.01
Tl (0.000, 0.000, 0.814)  0.00
Sc (0.500, 0.500, 0.916)  0.03
Tl (0.000, 0.000, 0.605)  -0.01
Tl (0.000, 0.000, 0.186)  0.00
Zn (0.000, 0.000, 0.000)  0.00
Sc (0.500, 0.500, 0.500)  0.12

no.,formation energy (eV per formula unit)
1,1.09
2,-2.91